Crystalline Sr2GdTl at its relaxed geometry. Source: Alexandria, functional PBE.

Properties
crystal system	trigonal
total DFT energy (no corrections)	-58.04	eV for the cell shown
relative energy among the computed polymorphs	203	meV per atom
calculated formation energy	0.12	eV/atom
DOS(E_F)	2.14	states/eV/atom

abc: 3.8647 3.8647 37.5258
angles: 90.00 90.00 120.00
Space group R-3m (No. 166, hexagonal axes)
Unique sites:
Sr: 0.0000 0.0000 0.0967 [6 per cell]
Gd: 0.0000 0.0000 0.0000 [3 per cell]
Tl: 0.0000 0.0000 0.5000 [3 per cell]